! LaSi7Os3, relaxed, DFT GGA-PBE; values from VASP
&SYSTEM
  ibrav = 0, nat = 22, ntyp = 3
/
ATOMIC_SPECIES
Si 28.09 Si.upf
Os 190.23 Os.upf
La 138.91 La.upf
ATOMIC_POSITIONS angstrom
Si -4.717 -5.419 -2.735
Si -8.913 -8.050 -3.002
Si -6.138 -3.372 0.572
Si -10.195 -3.936 -1.268
Si -5.872 -6.643 1.428
Si -8.609 -8.342 0.364
Si -6.092 -7.508 -3.450
Si -3.763 -2.855 -0.608
Si -11.288 -8.566 -1.823
Si -6.442 -3.079 -2.794
Si -4.856 -7.486 -1.162
Si -9.179 -4.778 -3.858
Si -10.333 -6.002 0.305
Si -8.959 -3.914 1.020
Os -8.009 -2.669 -0.927
Os -10.400 -6.231 -2.234
Os -4.651 -5.191 -0.197
Os -6.753 -5.150 -4.157
Os -8.297 -6.272 1.727
Os -7.042 -8.753 -1.503
La -7.525 -5.711 -1.215
La 0.000 0.000 0.000
CELL_PARAMETERS angstrom
-4.453 -3.416 -5.286
-2.705 -7.111 1.251
-7.893 -0.895 1.605
! Crystal system   trigonal
! Formation energy without anion corrections   -0.430 eV per atom
! Volume   349 Å³ per cell